Entry 1:
Here is AlHgCl2 after structural relaxation from Alexandria. Energies are from PBE.

Output
- M_tot: 0.00 μB per cell
- ΔE_f (raw): -0.16 eV/atom
- Space-group type: Fm-3m, No. 225
- Energy relative to the lowest polymorph listed for this composition: 13.21 kcal/mol of atoms

Lattice parameters (Å, degrees): 5.1348 5.1348 5.1348 60.00 60.00 60.00
With the nearest neighbours (Å) after each atom.
Element x y z (fractional)
Al1 0.0000 0.0000 0.0000  8 Cl 3.14
Hg1 0.5000 0.5000 0.5000  8 Cl 3.14
Cl1 0.2500 0.2500 0.2500  4 Hg 3.14, 4 Al 3.14
Cl2 0.7500 0.7500 0.7500  4 Hg 3.14, 4 Al 3.14

***

Entry 2:
Here is AlHgCl2 after structural relaxation from Alexandria. Energies are from PBE.

Output
- M_tot: 0.00 μB per cell
- ΔE_f (raw): -0.05 eV/atom
- Space-group type: F-43m, No. 216
- Energy relative to the lowest polymorph listed for this composition: 15.84 kcal/mol of atoms

Lattice parameters (Å, degrees): 5.0445 5.0445 5.0445 60.00 60.00 60.00
With the nearest neighbours (Å) after each atom.
Element x y z (fractional)
Al1 0.5000 0.5000 0.5000  4 Cl 3.09, 4 Hg 3.09
Hg1 0.2500 0.2500 0.2500  4 Cl 3.09, 4 Al 3.09
Cl1 0.0000 0.0000 0.0000  4 Hg 3.09, 4 Cl 3.09
Cl2 0.7500 0.7500 0.7500  4 Al 3.09, 4 Cl 3.09

***

Entry 3:
Here is AlHgCl2 after structural relaxation from Alexandria. Energies are from PBE.

Output
- M_tot: 0.00 μB per cell
- ΔE_f (raw): -0.67 eV/atom
- Space-group type: Cm, No. 8
- Energy relative to the lowest polymorph listed for this composition: 1.52 kcal/mol of atoms

Lattice parameters (Å, degrees): 6.3415 6.3415 6.3970 64.06 64.06 30.32
With the nearest neighbours (Å) after each atom.
Element x y z (fractional)
Al1 0.7354 0.7354 0.9030  4 Cl 2.41-2.42
Hg1 0.4194 0.4194 0.5550  2 Al 2.87
Cl1 0.0992 0.0992 0.8749  2 Al 2.42
Cl2 0.2460 0.2460 0.1672  2 Al 2.41

***

Entry 4:
Here is Al2HgCl after structural relaxation from Alexandria. Energies are from PBE.

Output
- M_tot: 0.00 μB per cell
- ΔE_f (raw): -0.01 eV/atom
- Space-group type: Pmmm, No. 47
- Energy relative to the lowest polymorph listed for this composition: 2.99 kcal/mol of atoms

Lattice parameters (Å, degrees): 3.1916 5.5097 4.8343 90.00 90.00 90.00
With the nearest neighbours (Å) after each atom.
Element x y z (fractional)
Al1 0.0000 0.0000 0.0000  4 Cl 2.90, 6 Al 3.18-3.19
Al2 0.5000 0.5000 0.0000  4 Hg 2.90, 6 Al 3.18-3.19
Hg1 0.0000 0.5000 0.5000  4 Al 2.90, 4 Cl 3.18, 2 Hg 3.19
Cl1 0.5000 0.0000 0.5000  4 Al 2.90, 4 Hg 3.18, 2 Cl 3.19

***

Entry 5:
Here is Al2HgCl after structural relaxation from Alexandria. Energies are from PBE.

Output
- M_tot: 0.00 μB per cell
- ΔE_f (raw): 0.10 eV/atom
- Space-group type: I-42d, No. 122
- Energy relative to the lowest polymorph listed for this composition: 5.54 kcal/mol of atoms

Lattice parameters (Å, degrees): 6.0400 6.0400 7.6549 66.76 66.76 90.00
With the nearest neighbours (Å) after each atom.
Element x y z (fractional)
Al1 0.6397 0.1250 0.2500  2 Hg 2.61, 2 Cl 2.71
Al2 0.1103 0.6250 0.2500  2 Hg 2.61, 2 Cl 2.71
Al3 0.3750 0.3603 0.7500  2 Hg 2.61, 2 Cl 2.71
Al4 0.8750 0.8897 0.7500  2 Hg 2.61, 2 Cl 2.71
Hg1 0.0000 0.0000 0.0000  4 Al 2.61
Hg2 0.7500 0.2500 0.5000  4 Al 2.61
Cl1 0.5000 0.5000 0.0000  4 Al 2.71
Cl2 0.2500 0.7500 0.5000  4 Al 2.71

***

Entry 6:
Here is Al4HgCl after structural relaxation from Alexandria. Energies are from PBE.

Output
- M_tot: 0.00 μB per cell
- ΔE_f (raw): 0.16 eV/atom
- Space-group type: F-43m, No. 216

Lattice parameters (Å, degrees): 5.6178 5.6178 5.6178 60.00 60.00 60.00
With the nearest neighbours (Å) after each atom.
Element x y z (fractional)
Al1 0.8768 0.3744 0.3744  6 Al 2.80-2.82
Al2 0.3744 0.3744 0.8768  6 Al 2.80-2.82
Al3 0.3744 0.8768 0.3744  6 Al 2.80-2.82
Al4 0.3744 0.3744 0.3744  6 Al 2.80-2.82
Hg1 0.0000 0.0000 0.0000  12 Al 3.29, 4 Cl 3.44
Cl1 0.7500 0.7500 0.7500  12 Al 3.30, 4 Hg 3.44

***

M_tot of number 3 (AlHgCl2)?
0.00 μB per cell

***

Among the records above, which one has the lowest ΔE_f (raw)?
number 3